Run P
Material: LiErPd4
Method: DFT, PBE
State: optimized geometry

## Properties
M_tot	0.000	μB per atom

```
LiErPd4
1.0
-2.352 2.572 -1.873
0.127 -0.470 -4.983
-6.032 -1.295 1.618
Pd Er Li
4 1 1
direct
0.832 0.499 0.837
0.346 0.993 0.315
0.654 0.007 0.685
0.168 0.501 0.163
0.500 0.500 0.500
0.000 0.000 0.000
```

Run Q
Material: LiErPd4
Method: DFT, PBE
State: optimized geometry

## Properties
M_tot	0.000	μB per atom

```
LiErPd4
1.0
-2.003 -4.060 0.792
5.672 0.577 3.773
-7.863 4.158 1.468
Li Pd Er
2 8 2
direct
0.000 0.500 0.500
0.500 0.500 0.000
0.533 0.566 0.357
0.297 0.094 0.974
0.703 0.906 0.026
0.203 0.906 0.526
0.967 0.434 0.143
0.467 0.434 0.643
0.797 0.094 0.474
0.033 0.566 0.857
0.250 0.000 0.250
0.750 0.000 0.750
```

Relative energies, meV/atom: run P 0; run Q 36.